Record 1
Below is a relaxed YHgS2O8 crystal, with properties calculated at the PBE level.

Computed properties:
For the energy, the calculation gives -0.4598 Ry per atom. The space group is No. 12. As for the total magnetic moment: 1.02 μB/f.u.

Lattice parameters (Å, degrees): 5.3515 5.3515 8.2930 94.36 94.36 63.05
Last column: magnetic moment on the atom in μB.
Fractional coordinates of all 12 atoms:
Y1 0.0000 0.0000 0.0000  0.00
Hg1 0.0000 0.0000 0.5000  0.48
S1 0.6669 0.6669 0.2197  0.00
S2 0.3331 0.3331 0.7803  0.00
O1 0.6439 0.2108 0.8140  0.02
O2 0.7836 0.7836 0.1046  0.00
O3 0.7284 0.7284 0.3892  0.08
O4 0.2716 0.2716 0.6108  0.08
O5 0.2164 0.2164 0.8954  0.00
O6 0.2108 0.6439 0.8140  0.02
O7 0.7892 0.3561 0.1860  0.02
O8 0.3561 0.7892 0.1860  0.02

Record 2
Below is a relaxed ZnHg2SO crystal, with properties calculated at the PBE level.

Computed properties:
For the energy, the calculation gives -0.1581 Ry per atom. The space group is No. 123. As for the total magnetic moment: 0.00 μB/f.u.

Lattice parameters (Å, degrees): 5.2077 3.7307 5.2077 90.00 90.00 90.00
Fractional coordinates of all 5 atoms:
S1 0.5000 0.5000 0.5000
Zn1 0.0000 0.5000 0.0000
Hg1 0.0000 0.0000 0.5000
Hg2 0.5000 0.0000 0.0000
O1 0.0000 0.0000 0.0000

Record 3
Below is a relaxed ZnHgS2O8 crystal, with properties calculated at the PBE level.

Computed properties:
For the energy, the calculation gives -0.3849 Ry per atom. The space group is No. 148. As for the total magnetic moment: 0.00 μB/f.u.

Lattice parameters (Å, degrees): 4.7757 4.7757 7.7040 71.94 71.94 60.00
Fractional coordinates of all 12 atoms:
Zn1 0.0000 0.0000 0.0000
Hg1 0.5000 0.5000 0.5000
S1 0.2521 0.2521 0.2436
S2 0.7479 0.7479 0.7564
O1 0.1820 0.1820 0.4539
O2 0.5728 0.2676 0.1806
O3 0.8180 0.8180 0.5461
O4 0.9791 0.5728 0.1806
O5 0.0209 0.4272 0.8194
O6 0.2676 0.9791 0.1806
O7 0.7324 0.0209 0.8194
O8 0.4272 0.7324 0.8194

Record 4
Below is a relaxed ZrHgS2O8 crystal, with properties calculated at the PBE level.

Computed properties:
For the energy, the calculation gives -0.4710 Ry per atom. The space group is No. 164. As for the total magnetic moment: 0.00 μB/f.u.

Lattice parameters (Å, degrees): 5.3914 5.3914 9.7567 90.00 90.00 120.00
Fractional coordinates of all 12 atoms:
Zr1 0.0000 0.0000 0.0000
Hg1 0.0000 0.0000 0.5000
S1 0.3333 0.6667 0.8184
S2 0.6667 0.3333 0.1816
O1 0.1847 0.3694 0.8791
O2 0.1847 0.8153 0.8791
O3 0.6306 0.8153 0.8791
O4 0.3694 0.1847 0.1209
O5 0.6667 0.3333 0.3271
O6 0.3333 0.6667 0.6729
O7 0.8153 0.6306 0.1209
O8 0.8153 0.1847 0.1209

Record 5
Below is a relaxed Hg2SbO crystal, with properties calculated at the PBE level.

Computed properties:
The calculation puts the energy relative to the lowest polymorph listed for this composition at 0 meV per atom. For the energy, the calculation gives -0.1731 Ry per atom. The space group is No. 122. As for the total magnetic moment: 0.00 μB/f.u.

Lattice parameters (Å, degrees): 6.0314 6.0314 7.0995 64.86 64.86 90.00
Fractional coordinates of all 8 atoms:
Sb1 0.0000 0.0000 0.0000
Sb2 0.7500 0.2500 0.5000
Hg1 0.5535 0.1250 0.2500
Hg2 0.1965 0.6250 0.2500
Hg3 0.3750 0.4465 0.7500
Hg4 0.8750 0.8035 0.7500
O1 0.5000 0.5000 0.0000
O2 0.2500 0.7500 0.5000

Record 6
Below is a relaxed Hg4SbO6 crystal, with properties calculated at the PBE level.

Computed properties:
The calculation puts the energy relative to the lowest polymorph listed for this composition at 234 meV per atom. For the energy, the calculation gives -0.2603 Ry per atom. The space group is No. 12. As for the total magnetic moment: 0.00 μB/f.u.

Lattice parameters (Å, degrees): 8.6478 8.6478 4.8542 74.18 74.18 133.77
Fractional coordinates of all 11 atoms:
Hg1 0.0723 0.6294 0.9440
Hg2 0.2448 0.4568 0.9443
Hg3 0.4568 0.2448 0.9443
Hg4 0.6294 0.0723 0.9440
Sb1 0.8508 0.8508 0.9444
O1 0.1625 0.9532 0.9107
O2 0.1080 0.1080 0.3868
O3 0.9532 0.1625 0.9107
O4 0.7479 0.5386 0.9790
O5 0.5386 0.7479 0.9790
O6 0.5937 0.5937 0.5020

Calculated energy relative to the elements, uncorrected (eV/atom), listed in the same order as above: -1.699 0.042 -1.112 -1.677 0.065 -0.352